A plane-wave DFT calculation with GGA-PBE was carried out for InNO2F after structural relaxation.

As for the total DFT energy (no corrections): -4.1287 eV/atom. For the energy relative to the elements, uncorrected, the calculation gives 442 meV per atom. The total magnetic moment is 0.200 μB/atom.

Geometry as CIF:
```
data_InNO2F
_cell_length_a 4.278
_cell_length_b 4.278
_cell_length_c 4.133
_cell_angle_alpha 90.00
_cell_angle_beta 90.00
_cell_angle_gamma 90.00
_symmetry_space_group_name_H-M 'P 4/m m m'
_symmetry_Int_Tables_number 123
_symmetry_space_group_name_Hall '-P 4 2'
loop_
_atom_site_label
_atom_site_type_symbol
_atom_site_fract_x
_atom_site_fract_y
_atom_site_fract_z
_atom_site_occupancy
In1 In 0.000 0.000 0.000 1
N1 N 0.500 0.500 0.500 1
O1 O 0.000 0.500 0.000 1
F1 F 0.000 0.000 0.500 1
```